Record 1
VASP calculation (PBE-GGA) on crystalline AgSn2SbP at its relaxed geometry.

- Crystal system: tetragonal
- Formation energy (no corrections): 2.7 eV/f.u.

```
data_AgSn2SbP
_chemical_formula_sum 'Ag1 Sn2 Sb1 P1'
_cell_length_a 5.262
_cell_length_b 5.262
_cell_length_c 5.139
_cell_angle_alpha 90.00
_cell_angle_beta 90.00
_cell_angle_gamma 90.00
_space_group_name_H-M_alt 'P 4/m m m'
_space_group_IT_number 123
_space_group_name_Hall '-P 4 2'
loop_
_atom_site_label
_atom_site_type_symbol
_atom_site_fract_x
_atom_site_fract_y
_atom_site_fract_z
_atom_site_occupancy
Ag1 Ag 0.000 0.000 0.000 1
Sn1 Sn 0.000 0.500 0.500 1
Sb1 Sb 0.500 0.500 0.000 1
P1 P 0.500 0.500 0.500 1
```



Record 2
VASP calculation (PBE-GGA) on crystalline ThMgB at its relaxed geometry.

- ΔE to the lowest computed polymorph: 0 meV per atom
- Formation energy from the elements: -247 meV/atom
- Crystal system: orthorhombic

```
data_ThMgB
_chemical_formula_sum 'Th4 Mg4 B4'
_cell_length_a 3.712
_cell_length_b 20.596
_cell_length_c 3.300
_cell_angle_alpha 90.00
_cell_angle_beta 90.00
_cell_angle_gamma 90.00
_space_group_name_H-M_alt 'C m c m'
_space_group_IT_number 63
_space_group_name_Hall '-C 2c 2'
loop_
_atom_site_label
_atom_site_type_symbol
_atom_site_fract_x
_atom_site_fract_y
_atom_site_fract_z
_atom_site_occupancy
Th1 Th 0.000 0.080 0.250 1
Mg1 Mg 0.000 0.295 0.250 1
B1 B 0.000 0.483 0.250 1
```



Record 3
VASP calculation (PBE-GGA) on crystalline HfMnP3 at its relaxed geometry.

- ΔE to the lowest computed polymorph: 0 meV per atom
- Formation energy from the elements: 258 meV/atom
- Crystal system: cubic

```
data_HfMnP3
_chemical_formula_sum 'Hf1 Mn1 P3'
_cell_length_a 4.429
_cell_length_b 4.429
_cell_length_c 4.429
_cell_angle_alpha 90.00
_cell_angle_beta 90.00
_cell_angle_gamma 90.00
_space_group_name_H-M_alt 'P m -3 m'
_space_group_IT_number 221
_space_group_name_Hall '-P 4 2 3'
loop_
_atom_site_label
_atom_site_type_symbol
_atom_site_fract_x
_atom_site_fract_y
_atom_site_fract_z
_atom_site_occupancy
Hf1 Hf 0.000 0.000 0.000 1
Mn1 Mn 0.500 0.500 0.500 1
P1 P 0.000 0.500 0.500 1
```



Record 4
VASP calculation (PBE-GGA) on crystalline Rb2CrReCl6 at its relaxed geometry.

- Crystal system: tetragonal
- Formation energy (no corrections): -9.6 eV/f.u.

```
data_Rb2CrReCl6
_chemical_formula_sum 'Rb4 Cr2 Re2 Cl12'
_cell_length_a 7.114
_cell_length_b 7.114
_cell_length_c 10.100
_cell_angle_alpha 90.00
_cell_angle_beta 90.00
_cell_angle_gamma 90.00
_space_group_name_H-M_alt 'I 4/m m m'
_space_group_IT_number 139
_space_group_name_Hall '-I 4 2'
loop_
_atom_site_label
_atom_site_type_symbol
_atom_site_fract_x
_atom_site_fract_y
_atom_site_fract_z
_atom_site_occupancy
Rb1 Rb 0.000 0.500 0.250 1
Cr1 Cr 0.000 0.000 0.000 1
Re1 Re 0.000 0.000 0.500 1
Cl1 Cl 0.000 0.000 0.257 1
Cl2 Cl 0.244 0.244 0.500 1
```



Record 5
VASP calculation (PBE-GGA) on crystalline Ac3InGa2O9 at its relaxed geometry.

- Crystal system: trigonal
- Formation energy (no corrections): -38.0 eV/f.u.

```
data_Ac3InGa2O9
_chemical_formula_sum 'Ac3 In1 Ga2 O9'
_cell_length_a 5.7199
_cell_length_b 5.7199
_cell_length_c 7.0607
_cell_angle_alpha 90.00
_cell_angle_beta 90.00
_cell_angle_gamma 120.00
_space_group_name_H-M_alt 'P -3 m 1'
_space_group_IT_number 164
_space_group_name_Hall '-P 3 2"'
loop_
_atom_site_label
_atom_site_type_symbol
_atom_site_fract_x
_atom_site_fract_y
_atom_site_fract_z
_atom_site_occupancy
Ac1 Ac 0.0000 0.0000 0.0000 1
Ac2 Ac 0.3333 0.6667 0.6796 1
In1 In 0.0000 0.0000 0.5000 1
Ga1 Ga 0.3333 0.6667 0.1634 1
O1 O 0.0000 0.5000 0.0000 1
O2 O 0.1714 0.3429 0.3216 1
```



Record 6
VASP calculation (PBE-GGA) on crystalline MnMoCl2 at its relaxed geometry.

- ΔE to the lowest computed polymorph: 407 meV per atom
- Crystal system: monoclinic
- Formation energy (no corrections): 0.4 eV/f.u.

```
data_MnMoCl2
_chemical_formula_sum 'Mn2 Mo2 Cl4'
_cell_length_a 10.083
_cell_length_b 3.264
_cell_length_c 5.972
_cell_angle_alpha 90.00
_cell_angle_beta 98.05
_cell_angle_gamma 90.00
_space_group_name_H-M_alt 'C 1 m 1'
_space_group_IT_number 8
_space_group_name_Hall 'C -2y'
loop_
_atom_site_label
_atom_site_type_symbol
_atom_site_fract_x
_atom_site_fract_y
_atom_site_fract_z
_atom_site_occupancy
Mn1 Mn 0.000 0.000 0.000 1
Mo1 Mo 0.327 0.000 0.958 1
Cl1 Cl 0.189 0.500 0.190 1
Cl2 Cl 0.470 0.000 0.665 1
```



Record 7
VASP calculation (PBE-GGA) on crystalline Ba8NaPtAu2 at its relaxed geometry.

- Formation energy from the elements: -373 meV/atom
- Crystal system: triclinic

```
data_Ba8NaPtAu2
_chemical_formula_sum 'Ba8 Na1 Pt1 Au2'
_cell_length_a 7.746
_cell_length_b 8.060
_cell_length_c 9.879
_cell_angle_alpha 89.93
_cell_angle_beta 89.87
_cell_angle_gamma 89.04
_space_group_name_H-M_alt 'P -1'
_space_group_IT_number 2
_space_group_name_Hall '-P 1'
loop_
_atom_site_label
_atom_site_type_symbol
_atom_site_fract_x
_atom_site_fract_y
_atom_site_fract_z
_atom_site_occupancy
Ba1 Ba 0.225 0.136 0.499 1
Ba2 Ba 0.249 0.181 0.000 1
Ba3 Ba 0.254 0.670 0.219 1
Ba4 Ba 0.255 0.671 0.782 1
Na1 Na 0.500 0.500 0.500 1
Pt1 Pt 0.500 0.500 0.000 1
Au1 Au 0.000 0.000 0.240 1
```



Record 8
VASP calculation (PBE-GGA) on crystalline SrLi2Tc2N4 at its relaxed geometry.

- Crystal system: monoclinic
- Formation energy (no corrections): -3.0 eV/f.u.

```
data_SrLi2Tc2N4
_chemical_formula_sum 'Sr2 Li4 Tc4 N8'
_cell_length_a 10.764
_cell_length_b 3.244
_cell_length_c 8.531
_cell_angle_alpha 90.00
_cell_angle_beta 119.76
_cell_angle_gamma 90.00
_space_group_name_H-M_alt 'C 1 2/m 1'
_space_group_IT_number 12
_space_group_name_Hall '-C 2y'
loop_
_atom_site_label
_atom_site_type_symbol
_atom_site_fract_x
_atom_site_fract_y
_atom_site_fract_z
_atom_site_occupancy
Sr1 Sr 0.000 0.000 0.000 1
Li1 Li 0.135 0.000 0.719 1
Tc1 Tc 0.150 0.500 0.386 1
N1 N 0.036 0.500 0.786 1
N2 N 0.242 0.000 0.331 1
```



Record 9
VASP calculation (PBE-GGA) on crystalline CrTe2Ir at its relaxed geometry.

- ΔE to the lowest computed polymorph: 134 meV per atom
- Crystal system: tetragonal
- Formation energy (no corrections): 0.2 eV/f.u.

```
data_CrTe2Ir
_chemical_formula_sum 'Cr1 Te2 Ir1'
_cell_length_a 3.594
_cell_length_b 3.594
_cell_length_c 7.139
_cell_angle_alpha 90.00
_cell_angle_beta 90.00
_cell_angle_gamma 90.00
_space_group_name_H-M_alt 'P 4 m m'
_space_group_IT_number 99
_space_group_name_Hall 'P 4 -2'
loop_
_atom_site_label
_atom_site_type_symbol
_atom_site_fract_x
_atom_site_fract_y
_atom_site_fract_z
_atom_site_occupancy
Cr1 Cr 0.000 0.000 0.000 1
Te1 Te 0.000 0.000 0.372 1
Te2 Te 0.500 0.500 0.848 1
Ir1 Ir 0.500 0.500 0.220 1
```



Record 10
VASP calculation (PBE-GGA) on crystalline MgRu4C2 at its relaxed geometry.

- Formation energy from the elements: 1535 meV/atom
- Crystal system: tetragonal

```
data_MgRu4C2
_chemical_formula_sum 'Mg2 Ru8 C4'
_cell_length_a 4.486
_cell_length_b 4.486
_cell_length_c 10.286
_cell_angle_alpha 90.00
_cell_angle_beta 90.00
_cell_angle_gamma 90.00
_space_group_name_H-M_alt 'I 4/m m m'
_space_group_IT_number 139
_space_group_name_Hall '-I 4 2'
loop_
_atom_site_label
_atom_site_type_symbol
_atom_site_fract_x
_atom_site_fract_y
_atom_site_fract_z
_atom_site_occupancy
Mg1 Mg 0.000 0.000 0.000 1
Ru1 Ru 0.000 0.000 0.255 1
Ru2 Ru 0.000 0.500 0.000 1
C1 C 0.000 0.000 0.433 1
```



Record 11
VASP calculation (PBE-GGA) on crystalline Li6Rh at its relaxed geometry.

- ΔE to the lowest computed polymorph: 740 meV per atom
- Formation energy from the elements: 689 meV/atom
- Crystal system: cubic

```
data_Li6Rh
_chemical_formula_sum 'Li12 Rh2'
_cell_length_a 6.049
_cell_length_b 6.049
_cell_length_c 6.049
_cell_angle_alpha 90.00
_cell_angle_beta 90.00
_cell_angle_gamma 90.00
_space_group_name_H-M_alt 'I m -3 m'
_space_group_IT_number 229
_space_group_name_Hall '-I 4 2 3'
loop_
_atom_site_label
_atom_site_type_symbol
_atom_site_fract_x
_atom_site_fract_y
_atom_site_fract_z
_atom_site_occupancy
Li1 Li 0.000 0.250 0.500 1
Rh1 Rh 0.000 0.000 0.000 1
```



| no. | final energy (eV per formula unit) | DOS(E_F) (states/eV/cell) |
| --- | --- | --- |
| 1 | -17.6 | 2.8 |
| 2 | -16.4 | 7.1 |
| 3 | -34.1 | 4.0 |
| 4 | -44.7 | 13.2 |
| 5 | -103.8 | 0.0 |
| 6 | -23.3 | 2.1 |
| 7 | -33.8 | 11.3 |
| 8 | -62.6 | 0.7 |
| 9 | -24.5 | 2.5 |
| 10 | -46.4 | 13.3 |
| 11 | -14.0 | 8.2 |